Entry from Alexandria: a relaxed Li4Co3OF11 crystal (GGA+U).

Crystal system ... triclinic
Space group ... P1, No. 1
Raw total energy ... -91.03 eV/cell

Cell: 5.443 5.734 6.784 Å, 95.41 100.25 95.75°
Fractional positions:
1 Li 0.000 0.000 0.000
2 Li 0.116 0.217 0.434
3 Li 0.578 0.033 0.214
4 Li 0.700 0.270 0.719
5 Co 0.260 0.481 0.043
6 Co 0.421 0.784 0.710
7 Co 0.819 0.622 0.359
8 O 0.503 0.648 0.221
9 F 0.050 0.264 0.828
10 F 0.162 0.589 0.498
11 F 0.175 0.763 0.890
12 F 0.281 0.188 0.183
13 F 0.370 0.049 0.583
14 F 0.502 0.502 0.818
15 F 0.642 0.000 0.926
16 F 0.731 0.765 0.593
17 F 0.748 0.318 0.435
18 F 0.914 0.921 0.287
19 F 0.921 0.482 0.134